(1)
Material: ZrNiTe2
Method: DFT, meta-GGA SCAN
State: PBEsol geometry

- E_tot: -30.988 eV/atom
- Formation energy (no corrections): -0.644 eV/atom

```
ZrNiTe2
1.0
3.601 0.000 -0.017
0.000 3.855 0.000
-1.770 0.000 6.856
Zr Te Ni
1 2 1
Cartesian
0.692 0.000 3.844
2.485 1.927 2.285
-1.097 0.000 6.237
-1.103 1.927 4.749
```

=====

(2)
Material: TaAs5
Method: DFT, meta-GGA SCAN
State: PBEsol geometry

- E_tot: -27.214 eV/atom

```
TaAs5
1.0
5.367 0.000 0.000
2.684 4.648 0.000
2.684 1.549 4.383
As Ta
5 1
Cartesian
4.020 3.877 2.742
5.367 3.099 0.540
6.715 3.877 2.742
2.684 1.549 1.096
5.367 1.542 2.742
0.000 0.000 0.000
```

=====

(3)
Material: NiH5CNCl2O2
Method: DFT, meta-GGA SCAN
State: PBEsol geometry

- E_tot: -7.639 eV/atom

```
NiH5CNCl2O2
1.0
-0.448 4.561 -4.793
-0.838 -5.450 -3.858
-5.669 1.567 3.271
H Cl O Ni C N
10 4 4 2 2 2
Cartesian
-4.431 2.702 -2.646
-4.612 1.346 -0.510
-4.662 -0.363 -0.789
-2.343 -0.669 -4.870
-2.524 -2.024 -2.734
-3.193 0.392 -0.537
-2.293 1.040 -4.591
-2.636 0.432 -6.152
-3.762 0.286 -4.844
-4.318 0.246 0.772
-5.587 0.411 -3.472
-4.962 -2.452 -1.667
-1.992 3.129 -3.713
-1.368 0.267 -1.908
-5.126 2.956 -0.766
-5.188 4.557 -2.384
-1.829 -2.278 -4.614
-1.767 -3.879 -2.996
-0.224 2.280 -2.396
0.000 0.000 0.000
-4.914 3.403 -1.933
-2.040 -2.726 -3.447
-4.196 0.406 -0.266
-2.758 0.272 -5.114
```

=====

(4)
Material: KYCl2
Method: DFT, meta-GGA SCAN
State: PBEsol geometry

- E_tot: -14.408 eV/atom
- Formation energy (no corrections): -1.376 eV/atom

```
KYCl2
1.0
-2.674 0.530 -1.968
0.892 -4.491 -2.422
-3.011 -2.448 3.431
Cl Y K
2 1 1
Cartesian
0.446 -2.245 -1.211
-1.505 -1.224 1.715
-1.337 0.265 -0.984
-2.396 -3.204 -0.480
```

=====

(5)
Material: KZr2Mo
Method: DFT, meta-GGA SCAN
State: PBEsol geometry

- E_tot: -24.990 eV/atom

```
KZr2Mo
1.0
-1.050 1.720 2.923
-0.468 -4.216 2.312
4.651 0.302 1.493
Zr K Mo
2 1 1
Cartesian
2.091 -1.957 1.903
0.000 0.000 0.000
1.800 1.011 2.208
-0.759 -1.248 2.617
```

=====

(6)
Material: CaAl3Rh
Method: DFT, meta-GGA SCAN
State: PBEsol geometry

- E_tot: -13.857 eV/atom

```
CaAl3Rh
1.0
4.686 0.000 0.000
0.000 4.686 0.000
0.000 0.000 4.686
Rh Al Ca
1 3 1
Cartesian
0.000 0.000 0.000
0.000 2.343 0.000
0.000 0.000 2.343
2.343 0.000 0.000
2.343 2.343 2.343
```

=====

(7)
Material: RbYAs2
Method: DFT, meta-GGA SCAN
State: PBEsol geometry

- E_tot: -22.838 eV/atom

```
RbYAs2
1.0
-1.123 -5.432 1.730
2.255 -2.043 -4.950
7.560 3.294 5.495
As Rb Y
4 2 2
Cartesian
6.801 -2.585 1.178
2.665 -0.284 -0.373
3.653 -1.980 -2.634
7.643 -0.122 -0.301
3.501 -2.937 2.807
0.566 -3.737 -1.610
0.000 0.000 0.000
5.190 -1.243 -0.532
```

=====

(8)
Material: Ag2Hg
Method: DFT, meta-GGA SCAN
State: PBEsol geometry

- E_tot: -43.594 eV/atom

```
Ag2Hg
1.0
3.001 0.000 0.000
0.000 4.030 0.000
-1.500 -2.015 4.436
Hg Ag
1 2
Cartesian
0.000 0.000 0.000
0.000 0.000 2.931
1.500 2.015 1.506
```

=====

- Which value of E_tot does entry 6 give?
  -13.857 eV/atom

=====

- Among the records above, which one has the lowest E_tot?
  Ag2Hg

=====

Please write out number 2 again, unchanged.
Material: TaAs5
Method: DFT, meta-GGA SCAN
State: PBEsol geometry

- E_tot: -27.214 eV/atom

```
TaAs5
1.0
5.367 0.000 0.000
2.684 4.648 0.000
2.684 1.549 4.383
As Ta
5 1
Cartesian
4.020 3.877 2.742
5.367 3.099 0.540
6.715 3.877 2.742
2.684 1.549 1.096
5.367 1.542 2.742
0.000 0.000 0.000
```